## BaY2OsCl (GGA-PBE)

Data for BaY2OsCl after structural relaxation.

Structure (extended XYZ):
```
5
Lattice="-1.3712 3.1210 -3.9062 4.2966 -3.9484 -4.6629 -4.0131 -3.1029 -1.0704" Properties=species:S:1:pos:R:3 pbc="T T T"
Y -2.0066 -1.5515 -0.5352
Y -0.6856 1.5605 -1.9531
Os 0.0000 0.0000 0.0000
Ba -0.5439 -1.9651 -4.8198
Cl 2.1483 -1.9742 -2.3315
```

Output
**Formation energy from raw total energies**: 0.05 eV/atom
**D(E_F)**: 3.435 states/eV per cell


## NiW2Au (GGA-PBE)

Data for NiW2Au after structural relaxation.

Structure (extended XYZ):
```
4
Lattice="-1.5329 1.5844 3.0332 -1.3290 -3.4132 1.1112 3.5545 -0.6830 2.1531" Properties=species:S:1:pos:R:3 pbc="T T T"
Au 1.0108 0.4507 2.5932
Ni 1.1128 -2.0481 1.6322
W 0.0000 0.0000 0.0000
W -1.4309 -0.9144 2.0722
```

Output
**D(E_F)**: 3.518 states/eV per cell
**Calculated formation energy**: 0.28 eV/atom
**ΔE to the lowest computed polymorph**: 43 kJ/mol of formula units


## Ce2HfReN5 (GGA-PBE)

Data for Ce2HfReN5 after structural relaxation.

Structure (extended XYZ):
```
9
Lattice="-0.2138 3.2020 -2.0505 -2.7400 1.2942 2.3067 5.8489 3.5605 4.9501" Properties=species:S:1:pos:R:3 pbc="T T T"
Ce 0.1814 3.2577 1.5316
Ce 2.7136 4.7991 3.6746
Hf 0.0000 0.0000 0.0000
Re 2.9245 1.7803 2.4751
N 1.5544 2.4274 3.6284
N 2.8175 3.3813 1.4498
N 4.4285 2.6958 3.7479
N 1.4204 0.8647 1.2022
N -1.4769 2.2481 0.1281
```

Output
**Formation energy from raw total energies**: -1.05 eV/atom
**D(E_F)**: 8.173 states/eV per cell


## Ca2PuBr6 (GGA-PBE)

Data for Ca2PuBr6 after structural relaxation.

Structure (extended XYZ):
```
9
Lattice="6.4608 0.0000 3.6103 2.2217 6.0668 3.6103 -0.4847 -0.3387 8.4537" Properties=species:S:1:pos:R:3 pbc="T T T"
Ca 1.3204 0.9226 5.2233
Ca 6.8775 4.8055 10.4509
Pu 0.0000 0.0000 0.0000
Br 4.9233 0.2551 9.2955
Br 1.0734 2.1892 7.8994
Br 3.9923 4.5353 10.4465
Br 3.2746 5.4731 6.3787
Br 7.1245 3.5389 7.7748
Br 4.2055 1.1928 5.2277
```

Output
**Formation energy from raw total energies**: -1.78 eV/atom
**D(E_F)**: 15.047 states/eV per cell


## Rb2CdCl2F2 (GGA-PBE)

Data for Rb2CdCl2F2 after structural relaxation.

Structure (extended XYZ):
```
7
Lattice="4.6726 0.0000 0.0000 0.0000 4.6726 0.0000 -2.3363 -2.3363 8.0567" Properties=species:S:1:pos:R:3 pbc="T T T"
Rb 0.0000 0.0000 6.0018
Rb 2.3363 2.3363 2.0549
Cd 0.0000 0.0000 0.0000
Cl 0.0000 0.0000 2.5680
Cl 2.3363 2.3363 5.4887
F 0.0000 2.3363 0.0000
F 2.3363 0.0000 0.0000
```

Output
**Formation energy from raw total energies**: -2.10 eV/atom
**D(E_F)**: 0.000 states/eV per cell


## LaThCu2 (GGA-PBE)

Data for LaThCu2 after structural relaxation.

Structure (extended XYZ):
```
4
Lattice="3.5933 0.0000 0.0000 0.0000 3.5933 0.0000 0.0000 0.0000 7.3372" Properties=species:S:1:pos:R:3 pbc="T T T"
Cu 0.0000 0.0000 5.6245
Cu 0.0000 0.0000 1.7126
Th 1.7966 1.7966 0.0000
La 1.7966 1.7966 3.6686
```

Output
**D(E_F)**: 4.886 states/eV per cell
**Calculated formation energy**: -0.09 eV/atom
**ΔE to the lowest computed polymorph**: 14 kJ/mol of formula units